Entry a
# SrCa4Pr, optimized geometry, DFT GGA-PBE
data_SrCa4Pr
_symmetry_space_group_name_H-M 'P 1'
_symmetry_Int_Tables_number 1
_cell_length_a 7.227
_cell_length_b 7.227
_cell_length_c 7.227
_cell_angle_alpha 60.00
_cell_angle_beta 60.00
_cell_angle_gamma 60.00
loop_
_symmetry_equiv_pos_as_xyz
'x,y,z'
loop_
_atom_site_label
_atom_site_type_symbol
_atom_site_fract_x
_atom_site_fract_y
_atom_site_fract_z
Ca1 Ca 0.626 0.626 0.626
Ca2 Ca 0.626 0.626 0.123
Ca3 Ca 0.123 0.626 0.626
Ca4 Ca 0.626 0.123 0.626
Sr1 Sr 0.250 0.250 0.250
Pr1 Pr 0.000 0.000 0.000
# Total magnetic moment: 0.201 μB/atom


Entry b
# SrCa4Pr, optimized geometry, DFT GGA-PBE
data_SrCa4Pr
_symmetry_space_group_name_H-M 'P 1'
_symmetry_Int_Tables_number 1
_cell_length_a 4.003
_cell_length_b 4.003
_cell_length_c 15.887
_cell_angle_alpha 89.99
_cell_angle_beta 90.00
_cell_angle_gamma 90.00
loop_
_symmetry_equiv_pos_as_xyz
'x,y,z'
loop_
_atom_site_label
_atom_site_type_symbol
_atom_site_fract_x
_atom_site_fract_y
_atom_site_fract_z
Ca1 Ca 0.500 0.500 0.184
Ca2 Ca 0.500 0.500 0.816
Ca3 Ca 0.000 0.000 0.652
Ca4 Ca 0.000 0.000 0.348
Pr1 Pr 0.500 0.500 0.500
Sr1 Sr 0.000 0.000 0.000
# Total magnetic moment: 0.000 μB/atom


Least stable = entry a


Entry a
# CaTbPr2, optimized geometry, DFT GGA-PBE
data_CaTbPr2
_symmetry_space_group_name_H-M 'P 1'
_symmetry_Int_Tables_number 1
_cell_length_a 5.086
_cell_length_b 5.297
_cell_length_c 5.297
_cell_angle_alpha 90.00
_cell_angle_beta 90.00
_cell_angle_gamma 90.00
loop_
_symmetry_equiv_pos_as_xyz
'x,y,z'
loop_
_atom_site_label
_atom_site_type_symbol
_atom_site_fract_x
_atom_site_fract_y
_atom_site_fract_z
Tb1 Tb 0.500 0.000 0.000
Pr1 Pr 0.000 0.500 0.000
Pr2 Pr 0.000 0.000 0.500
Ca1 Ca 0.500 0.500 0.500
# Total magnetic moment: 0.000 μB/atom


Entry b
# CaTbPr2, optimized geometry, DFT GGA-PBE
data_CaTbPr2
_symmetry_space_group_name_H-M 'P 1'
_symmetry_Int_Tables_number 1
_cell_length_a 3.699
_cell_length_b 3.699
_cell_length_c 12.205
_cell_angle_alpha 90.00
_cell_angle_beta 90.00
_cell_angle_gamma 119.95
loop_
_symmetry_equiv_pos_as_xyz
'x,y,z'
loop_
_atom_site_label
_atom_site_type_symbol
_atom_site_fract_x
_atom_site_fract_y
_atom_site_fract_z
Pr1 Pr 0.466 0.534 0.263
Pr2 Pr 0.466 0.534 0.737
Tb1 Tb 0.132 0.868 0.500
Ca1 Ca 0.801 0.199 0.000
# Total magnetic moment: 0.000 μB/atom


Least stable = entry a


Entry a
# CaTbPr2, optimized geometry, DFT GGA-PBE
data_CaTbPr2
_symmetry_space_group_name_H-M 'P 1'
_symmetry_Int_Tables_number 1
_cell_length_a 3.686
_cell_length_b 3.686
_cell_length_c 12.456
_cell_angle_alpha 81.49
_cell_angle_beta 81.49
_cell_angle_gamma 60.00
loop_
_symmetry_equiv_pos_as_xyz
'x,y,z'
loop_
_atom_site_label
_atom_site_type_symbol
_atom_site_fract_x
_atom_site_fract_y
_atom_site_fract_z
Tb1 Tb 0.667 0.667 0.000
Ca1 Ca 0.500 0.500 0.500
Pr1 Pr 0.255 0.255 0.236
Pr2 Pr 0.079 0.079 0.764
# Total magnetic moment: 0.000 μB/atom


Entry b
# CaTbPr2, optimized geometry, DFT GGA-PBE
data_CaTbPr2
_symmetry_space_group_name_H-M 'P 1'
_symmetry_Int_Tables_number 1
_cell_length_a 3.688
_cell_length_b 3.688
_cell_length_c 10.627
_cell_angle_alpha 90.00
_cell_angle_beta 90.00
_cell_angle_gamma 90.00
loop_
_symmetry_equiv_pos_as_xyz
'x,y,z'
loop_
_atom_site_label
_atom_site_type_symbol
_atom_site_fract_x
_atom_site_fract_y
_atom_site_fract_z
Ca1 Ca 0.500 0.500 0.500
Pr1 Pr 0.000 0.000 0.765
Pr2 Pr 0.000 0.000 0.235
Tb1 Tb 0.500 0.500 0.000
# Total magnetic moment: 0.000 μB/atom


Least stable = entry b


Entry a
# Ca2TbPr, optimized geometry, DFT GGA-PBE
data_Ca2TbPr
_symmetry_space_group_name_H-M 'P 1'
_symmetry_Int_Tables_number 1
_cell_length_a 3.747
_cell_length_b 3.747
_cell_length_c 12.559
_cell_angle_alpha 81.42
_cell_angle_beta 81.42
_cell_angle_gamma 60.00
loop_
_symmetry_equiv_pos_as_xyz
'x,y,z'
loop_
_atom_site_label
_atom_site_type_symbol
_atom_site_fract_x
_atom_site_fract_y
_atom_site_fract_z
Tb1 Tb 0.000 0.000 0.001
Ca1 Ca 0.416 0.416 0.752
Ca2 Ca 0.838 0.838 0.487
Pr1 Pr 0.258 0.258 0.227
# Total magnetic moment: 0.000 μB/atom


Entry b
# Ca2TbPr, optimized geometry, DFT GGA-PBE
data_Ca2TbPr
_symmetry_space_group_name_H-M 'P 1'
_symmetry_Int_Tables_number 1
_cell_length_a 5.926
_cell_length_b 5.926
_cell_length_c 5.926
_cell_angle_alpha 60.00
_cell_angle_beta 60.00
_cell_angle_gamma 60.00
loop_
_symmetry_equiv_pos_as_xyz
'x,y,z'
loop_
_atom_site_label
_atom_site_type_symbol
_atom_site_fract_x
_atom_site_fract_y
_atom_site_fract_z
Ca1 Ca 0.750 0.750 0.750
Ca2 Ca 0.250 0.250 0.250
Pr1 Pr 0.500 0.500 0.500
Tb1 Tb 0.000 0.000 0.000
# Total magnetic moment: 0.000 μB/atom


Entry c
# Ca2TbPr, optimized geometry, DFT GGA-PBE
data_Ca2TbPr
_symmetry_space_group_name_H-M 'P 1'
_symmetry_Int_Tables_number 1
_cell_length_a 3.606
_cell_length_b 3.606
_cell_length_c 13.451
_cell_angle_alpha 82.30
_cell_angle_beta 82.30
_cell_angle_gamma 60.00
loop_
_symmetry_equiv_pos_as_xyz
'x,y,z'
loop_
_atom_site_label
_atom_site_type_symbol
_atom_site_fract_x
_atom_site_fract_y
_atom_site_fract_z
Ca1 Ca 0.087 0.087 0.739
Ca2 Ca 0.913 0.913 0.261
Pr1 Pr 0.500 0.500 0.500
Tb1 Tb 0.000 0.000 0.000
# Total magnetic moment: 0.155 μB/atom


Least stable = entry c